# 1
This record from the Alexandria database describes a relaxed CuAgSe2 crystal. The functional is GGA-PBEsol.

a = 3.5778 Å, b = 4.1768 Å, c = 5.9911 Å
α = 110.40°, β = 107.37°, γ = 90.00°
Closest atoms and distances in Å follow each position.
Atoms (fractional coordinates):
Ag  0.5000  0.0000  0.0000  4 Se 2.64, 4 Cu 2.75
Cu  0.0000  0.5000  0.0000  4 Se 2.42
Se  0.3476  0.3476  0.6952  2 Cu 2.42, 2 Ag 2.64
Se  0.6524  0.6524  0.3048  2 Cu 2.42, 2 Ag 2.64

## Properties
space group: No. 71
VASP energy: -3.857 eV per atom
spin magnetization: 0.00 μB per formula unit



# 2
This record from the Alexandria database describes a relaxed CuAgSe2 crystal. The functional is GGA-PBEsol.

a = 3.6225 Å, b = 3.6225 Å, c = 6.6182 Å
α = 74.12°, β = 74.12°, γ = 60.00°
Closest atoms and distances in Å follow each position.
Atoms (fractional coordinates):
Se  0.7406  0.7406  0.7783  3 Cu 2.51, 3 Ag 2.73
Ag  0.5000  0.5000  0.5000  6 Se 2.73
Cu  0.0000  0.0000  0.0000  6 Se 2.51
Se  0.2594  0.2594  0.2217  3 Cu 2.51, 3 Ag 2.73

## Properties
space group: No. 166
VASP energy: -3.894 eV per atom
spin magnetization: 0.00 μB per formula unit



# 3
This record from the Alexandria database describes a relaxed CuAgSe crystal. The functional is GGA-PBEsol.

a = 2.8892 Å, b = 2.8892 Å, c = 6.1665 Å
α = 103.01°, β = 103.01°, γ = 92.23°
Closest atoms and distances in Å follow each position.
Atoms (fractional coordinates):
Ag  0.9837  0.9837  0.9674  4 Cu 2.68-2.74, 4 Ag 2.89
Se  0.6851  0.6851  0.3702  4 Cu 2.63-2.69, 4 Se 2.89
Cu  0.3312  0.3312  0.6624  4 Se 2.63-2.69, 4 Ag 2.68-2.74, 4 Cu 2.89

## Properties
space group: No. 42
VASP energy: -3.644 eV per atom
spin magnetization: 0.00 μB per formula unit



# 4
This record from the Alexandria database describes a relaxed Cu2SiAg crystal. The functional is GGA-PBEsol.

a = 3.7215 Å, b = 3.7287 Å, c = 4.5921 Å
α = 113.95°, β = 113.90°, γ = 90.00°
Closest atoms and distances in Å follow each position.
Atoms (fractional coordinates):
Ag  0.2495  0.7495  0.4989  8 Cu 2.63-2.65, 4 Si 2.64-2.65
Si  0.4997  0.4997  0.9993  8 Cu 2.63-2.65, 4 Ag 2.64-2.65
Cu  0.7509  0.2509  0.5017  4 Ag 2.63, 4 Si 2.64-2.65, 4 Cu 2.64-2.65
Cu  0.0000  0.0000  0.0000  4 Si 2.63, 4 Cu 2.64-2.65, 4 Ag 2.65

## Properties
space group: No. 44
VASP energy: -4.365 eV per atom
spin magnetization: 0.00 μB per formula unit



# 5
This record from the Alexandria database describes a relaxed CuSi4Ag crystal. The functional is GGA-PBEsol.

a = 5.0315 Å, b = 5.0315 Å, c = 5.0315 Å
α = 60.00°, β = 60.00°, γ = 60.00°
Closest atoms and distances in Å follow each position.
Atoms (fractional coordinates):
Si  0.3746  0.3746  0.8763  6 Si 2.51-2.52
Si  0.3746  0.8763  0.3746  6 Si 2.51-2.52
Cu  0.0000  0.0000  0.0000  12 Si 2.95, 4 Ag 3.08
Ag  0.7500  0.7500  0.7500  12 Si 2.95, 4 Cu 3.08
Si  0.8763  0.3746  0.3746  6 Si 2.51-2.52
Si  0.3746  0.3746  0.3746  6 Si 2.51-2.52

## Properties
space group: No. 216
VASP energy: -4.615 eV per atom
spin magnetization: 0.00 μB per formula unit



# 6
This record from the Alexandria database describes a relaxed Cu2Si2Ag crystal. The functional is GGA-PBEsol.

a = 3.4893 Å, b = 3.4893 Å, c = 6.2983 Å
α = 106.08°, β = 106.08°, γ = 90.00°
Closest atoms and distances in Å follow each position.
Atoms (fractional coordinates):
Cu  0.3940  0.3940  0.7880  4 Si 2.41, 1 Cu 2.46
Si  0.2500  0.7500  0.5000  4 Cu 2.41, 4 Si 2.47
Ag  0.0000  0.0000  0.0000  8 Cu 2.76
Cu  0.6060  0.6060  0.2120  4 Si 2.41, 1 Cu 2.46
Si  0.7500  0.2500  0.5000  4 Cu 2.41, 4 Si 2.47

## Properties
space group: No. 139
VASP energy: -4.568 eV per atom
spin magnetization: 0.00 μB per formula unit



# 7
This record from the Alexandria database describes a relaxed CuSi2Ag crystal. The functional is GGA-PBEsol.

a = 4.3858 Å, b = 4.3858 Å, c = 4.3858 Å
α = 60.00°, β = 60.00°, γ = 60.00°
Closest atoms and distances in Å follow each position.
Atoms (fractional coordinates):
Si  0.7500  0.7500  0.7500  4 Ag 2.69, 4 Cu 2.69
Cu  0.5000  0.5000  0.5000  8 Si 2.69
Si  0.2500  0.2500  0.2500  4 Ag 2.69, 4 Cu 2.69
Ag  0.0000  0.0000  0.0000  8 Si 2.69

## Properties
space group: No. 225
VASP energy: -4.406 eV per atom
spin magnetization: 0.00 μB per formula unit



# 8
This record from the Alexandria database describes a relaxed SmCu4Ag crystal. The functional is GGA-PBEsol.

a = 5.0020 Å, b = 5.0020 Å, c = 5.0020 Å
α = 60.00°, β = 60.00°, γ = 60.00°
Closest atoms and distances in Å follow each position.
Atoms (fractional coordinates):
Cu  0.6237  0.6237  0.1289  6 Cu 2.47-2.53
Cu  0.1289  0.6237  0.6237  6 Cu 2.47-2.53
Cu  0.6237  0.1289  0.6237  6 Cu 2.47-2.53
Ag  0.2500  0.2500  0.2500  12 Cu 2.93, 4 Sm 3.06
Cu  0.6237  0.6237  0.6237  6 Cu 2.47-2.53
Sm  0.0000  0.0000  0.0000  12 Cu 2.94, 4 Ag 3.06

## Properties
space group: No. 216
E_form: -214 meV/atom
VASP energy: -4.504 eV per atom
spin magnetization: 0.00 μB per formula unit



# 9
This record from the Alexandria database describes a relaxed CuAgSn3 crystal. The functional is GGA-PBEsol.

a = 4.9838 Å, b = 4.9838 Å, c = 4.9838 Å
α = 90.00°, β = 90.00°, γ = 90.00°
Closest atoms and distances in Å follow each position.
Atoms (fractional coordinates):
Sn  0.5000  0.0000  0.0000  2 Cu 2.49
Cu  0.0000  0.0000  0.0000  6 Sn 2.49
Ag  0.5000  0.5000  0.5000  12 Sn 3.52
Sn  0.0000  0.5000  0.0000  2 Cu 2.49
Sn  0.0000  0.0000  0.5000  2 Cu 2.49

## Properties
space group: No. 221
E_form: 387 meV/atom
VASP energy: -3.698 eV per atom
spin magnetization: 0.00 μB per formula unit



# 10
This record from the Alexandria database describes a relaxed CuAgSn2 crystal. The functional is GGA-PBEsol.

a = 4.8161 Å, b = 4.8161 Å, c = 4.8161 Å
α = 60.00°, β = 60.00°, γ = 60.00°
Closest atoms and distances in Å follow each position.
Atoms (fractional coordinates):
Ag  0.5000  0.5000  0.5000  8 Sn 2.95
Sn  0.7500  0.7500  0.7500  4 Cu 2.95, 4 Ag 2.95
Sn  0.2500  0.2500  0.2500  4 Ag 2.95, 4 Cu 2.95
Cu  0.0000  0.0000  0.0000  8 Sn 2.95

## Properties
space group: No. 225
E_form: 167 meV/atom
VASP energy: -3.874 eV per atom
spin magnetization: 0.00 μB per formula unit



# 11
This record from the Alexandria database describes a relaxed Cu2TcAgSn crystal. The functional is GGA-PBEsol.

a = 4.6365 Å, b = 4.6365 Å, c = 4.9639 Å
α = 90.00°, β = 90.00°, γ = 90.00°
Closest atoms and distances in Å follow each position.
Atoms (fractional coordinates):
Tc  0.0000  0.0000  0.5000  2 Sn 2.48
Ag  0.5000  0.5000  0.5000  4 Tc 3.28, 8 Cu 3.40
Cu  0.5000  0.0000  0.0000  2 Sn 2.32
Sn  0.0000  0.0000  0.0000  4 Cu 2.32, 2 Tc 2.48
Cu  0.0000  0.5000  0.0000  2 Sn 2.32

## Properties
space group: No. 123
E_form: 1420 meV/atom
VASP energy: -4.081 eV per atom
spin magnetization: 1.92 μB per formula unit



# 12
This record from the Alexandria database describes a relaxed SrCu2Ag crystal. The functional is GGA-PBEsol.

a = 3.8557 Å, b = 4.4613 Å, c = 4.4613 Å
α = 90.12°, β = 89.92°, γ = 89.92°
Closest atoms and distances in Å follow each position.
Atoms (fractional coordinates):
Cu  0.0000  0.5000  0.0000  4 Ag 2.95, 4 Sr 2.95, 4 Cu 3.15-3.16
Sr  0.5000  0.5000  0.5000  8 Cu 2.95, 4 Ag 3.15-3.16
Ag  0.5000  0.0000  0.0000  8 Cu 2.95, 4 Sr 3.15-3.16
Cu  0.0000  0.0000  0.5000  4 Sr 2.95, 4 Ag 2.95, 4 Cu 3.15-3.16

## Properties
space group: No. 12
E_form: 307 meV/atom
VASP energy: -3.148 eV per atom
energy above the most stable polymorph in this dataset: 1.392 eV/f.u.
spin magnetization: 0.00 μB per formula unit